# SrSi2Sb (PBE, optimized geometry)
# Total moment   0.0 μB per cell
# Formation energy (no corrections)   -0.043 eV per atom
data_SrSi2Sb
_cell_length_a 4.654
_cell_length_b 4.597
_cell_length_c 5.294
_cell_angle_alpha 89.97
_cell_angle_beta 90.00
_cell_angle_gamma 90.00
_symmetry_space_group_name_H-M 'P 1'
_symmetry_Int_Tables_number 1
_symmetry_space_group_name_Hall 'P 1'
loop_
_atom_site_label
_atom_site_type_symbol
_atom_site_fract_x
_atom_site_fract_y
_atom_site_fract_z
Sr1 Sr 0.500 0.250 0.250
Si1 Si 0.000 0.750 0.036
Si2 Si 0.000 0.750 0.464
Sb1 Sb 0.500 0.750 0.750